[1]
Density functional theory data (GGA-PBE) for a relaxed structure of Ce7AsBr12.

**E_form (uncorrected)**: -1.6205 eV/atom

Cell and atoms, written as extended XYZ:
```
20
Lattice="7.643 4.413 3.375 -7.643 4.413 3.375 0.000 -8.826 3.375" Properties=species:S:1:pos:R:3 pbc="T T T"
Ce 0.000 0.000 0.000
Ce -1.653 -1.626 3.388
Ce -0.581 2.245 3.388
Ce 2.235 -0.619 3.388
Ce -2.235 0.619 6.739
Ce 0.581 -2.245 6.739
Ce 1.653 1.626 6.739
As 0.000 0.000 5.063
Br -2.444 0.674 1.608
Br 0.638 -2.454 1.608
Br -4.097 -1.038 5.050
Br -1.149 -4.067 5.076
Br 1.806 1.780 1.608
Br -2.947 3.029 5.076
Br 2.947 -3.029 5.050
Br -1.806 -1.780 8.518
Br 1.149 4.067 5.050
Br 4.097 1.038 5.076
Br -0.638 2.454 8.518
Br 2.444 -0.674 8.518
```

---

[2]
Density functional theory data (GGA-PBE) for a relaxed structure of AcLaPaO6.

**E_form (uncorrected)**: -3.2351 eV/atom

Cell and atoms, written as extended XYZ:
```
18
Lattice="5.367 0.000 0.000 0.000 5.367 0.000 0.000 0.000 11.304" Properties=species:S:1:pos:R:3 pbc="T T T"
Ac 0.000 0.000 0.000
Ac 2.683 2.683 5.652
La 0.000 0.000 3.726
La 2.683 2.683 9.378
Pa 0.000 0.000 7.518
Pa 2.683 2.683 1.866
O 0.949 0.949 5.801
O 0.987 0.987 9.178
O 1.132 1.132 1.909
O 1.551 3.815 7.561
O 1.696 3.671 3.525
O 1.735 3.632 0.149
O 3.632 1.735 0.149
O 3.671 1.696 3.525
O 3.815 1.551 7.561
O 4.235 4.235 1.909
O 4.379 4.379 9.178
O 4.418 4.418 5.801
```

---

[3]
Density functional theory data (GGA-PBE) for a relaxed structure of FeHgRu2.

**Calculated formation energy**: 490.8 meV/atom

Cell and atoms, written as extended XYZ:
```
4
Lattice="2.809 0.000 0.000 0.000 4.115 0.000 -1.135 0.000 5.364" Properties=species:S:1:pos:R:3 pbc="T T T"
Fe 0.000 0.000 0.000
Hg -0.568 0.000 2.682
Ru 0.799 2.058 1.160
Ru 0.874 2.058 4.205
```

---

[4]
Density functional theory data (GGA-PBE) for a relaxed structure of PrThNiIr.

**Energy above the lowest structure with this stoichiometry**: 72.1 kJ/mol of formula units
**Calculated formation energy**: -446.9 meV/atom

Cell and atoms, written as extended XYZ:
```
4
Lattice="0.000 3.549 3.549 3.549 0.000 3.549 3.549 3.549 0.000" Properties=species:S:1:pos:R:3 pbc="T T T"
Pr 0.000 0.000 0.000
Th 3.549 3.549 3.549
Ni 1.774 1.774 1.774
Ir 5.323 5.323 5.323
```

---

[5]
Density functional theory data (GGA-PBE) for a relaxed structure of Ac6La8Tb.

**Calculated formation energy**: 91.1 meV/atom

Cell and atoms, written as extended XYZ:
```
15
Lattice="4.829 2.788 7.413 -4.829 2.788 7.413 0.000 -5.576 7.413" Properties=species:S:1:pos:R:3 pbc="T T T"
Ac -3.381 -1.092 10.207
Ac -0.745 -3.474 12.032
Ac -2.636 2.382 12.032
Ac 2.636 -2.382 10.207
Ac 0.745 3.474 10.207
Ac 3.381 1.092 12.032
La 0.000 0.000 1.636
La -0.286 -2.107 8.003
La -1.682 1.301 8.003
La -1.968 -0.806 14.236
La 1.968 0.806 8.003
La 1.682 -1.301 14.236
La 0.286 2.107 14.236
La 0.000 0.000 20.603
Tb 0.000 0.000 11.120
```

---

[6]
Density functional theory data (GGA-PBE) for a relaxed structure of La2Ag2O5.

**E_form (uncorrected)**: -1.8230 eV/atom
**Energy above the lowest structure with this stoichiometry**: 78.4 kJ/mol of formula units

Cell and atoms, written as extended XYZ:
```
18
Lattice="-8.169 3.030 2.889 8.169 -3.030 2.889 8.169 3.030 -2.889" Properties=species:S:1:pos:R:3 pbc="T T T"
La 1.950 0.046 0.000
La 6.220 0.046 0.000
La 1.950 2.984 2.889
La 6.220 2.984 2.889
Ag 0.000 0.000 2.746
Ag 8.169 0.000 2.746
Ag 4.085 -0.110 2.947
Ag 4.085 3.141 0.058
O 12.254 0.556 -0.416
O 2.086 2.344 -0.491
O 6.083 2.344 -0.491
O -0.582 1.584 1.354
O 8.752 1.584 1.354
O 2.086 0.687 2.398
O 6.083 0.687 2.398
O -4.085 2.475 2.473
O 0.582 4.477 1.354
O -0.582 1.446 4.243
```

---

[7]
Density functional theory data (GGA-PBE) for a relaxed structure of SmHoSe.

**E_form (uncorrected)**: -0.9500 eV/atom
**Energy above the lowest structure with this stoichiometry**: 44.5 kJ/mol of formula units

Cell and atoms, written as extended XYZ:
```
3
Lattice="-1.807 1.807 6.241 1.807 -1.807 6.241 1.807 1.807 -6.241" Properties=species:S:1:pos:R:3 pbc="T T T"
Sm 0.000 0.000 0.000
Ho 0.000 0.000 3.595
Se 0.000 0.000 8.117
```

---

[8]
Density functional theory data (GGA-PBE) for a relaxed structure of PmDy2Pb.

**Energy above the lowest structure with this stoichiometry**: 131.7 kJ/mol of formula units
**Calculated formation energy**: 47.2 meV/atom

Cell and atoms, written as extended XYZ:
```
4
Lattice="1.777 1.026 12.092 -1.777 1.026 12.092 0.000 -2.052 12.092" Properties=species:S:1:pos:R:3 pbc="T T T"
Pm 0.000 0.000 0.000
Dy 0.000 0.000 14.968
Dy 0.000 0.000 21.309
Pb 0.000 0.000 18.138
```

---

[9]
Density functional theory data (GGA-PBE) for a relaxed structure of HgRuBr2.

**E_form (uncorrected)**: -0.0303 eV/atom
**Energy above the lowest structure with this stoichiometry**: 0.0 kJ/mol of formula units

Cell and atoms, written as extended XYZ:
```
4
Lattice="3.268 -1.887 0.000 3.268 1.887 0.000 -2.097 0.000 9.666" Properties=species:S:1:pos:R:3 pbc="T T T"
Hg 0.000 0.000 0.000
Ru 2.219 0.000 4.833
Br 0.041 0.000 6.150
Br 4.397 0.000 3.515
```

---

[10]
Density functional theory data (GGA-PBE) for a relaxed structure of NaSr2TlH.

**Energy above the lowest structure with this stoichiometry**: 0.0 kJ/mol of formula units

Cell and atoms, written as extended XYZ:
```
5
Lattice="5.562 0.000 0.000 0.000 5.562 0.000 0.000 0.000 4.490" Properties=species:S:1:pos:R:3 pbc="T T T"
Na 0.000 0.000 0.000
Sr 0.000 2.781 2.245
Sr 2.781 0.000 2.245
Tl 2.781 2.781 0.000
H 0.000 0.000 2.245
```

---

[11]
Density functional theory data (GGA-PBE) for a relaxed structure of SrHoTm2S4.

**E_form (uncorrected)**: -1.9533 eV/atom

Cell and atoms, written as extended XYZ:
```
8
Lattice="6.842 0.000 0.000 0.000 3.921 0.000 -2.234 0.000 6.473" Properties=species:S:1:pos:R:3 pbc="T T T"
Sr 0.000 0.000 0.000
Ho 3.421 1.960 0.000
Tm -1.117 1.960 3.237
Tm 2.304 0.000 3.237
S 0.088 0.000 4.788
S 1.211 1.960 1.730
S 3.397 1.960 4.743
S 4.520 0.000 1.685
```

---

[12]
Density functional theory data (GGA-PBE) for a relaxed structure of BeAu2Br.

**E_form (uncorrected)**: 0.5726 eV/atom
**Energy above the lowest structure with this stoichiometry**: 265.6 kJ/mol of formula units

Cell and atoms, written as extended XYZ:
```
4
Lattice="2.716 -4.085 0.000 2.716 4.085 0.000 0.000 0.000 3.387" Properties=species:S:1:pos:R:3 pbc="T T T"
Be 0.000 0.000 0.000
Au 1.358 2.042 1.693
Au 1.358 -2.042 1.693
Br 2.716 0.000 0.000
```

---

[13]
Density functional theory data (GGA-PBE) for a relaxed structure of HoHfZnPt.

**Calculated formation energy**: -618.8 meV/atom

Cell and atoms, written as extended XYZ:
```
4
Lattice="0.000 3.413 3.413 3.413 0.000 3.413 3.413 3.413 0.000" Properties=species:S:1:pos:R:3 pbc="T T T"
Ho 0.000 0.000 0.000
Hf 3.413 3.413 3.413
Zn 1.707 1.707 1.707
Pt 5.120 5.120 5.120
```

---

[14]
Density functional theory data (GGA-PBE) for a relaxed structure of KAlHg2.

**Energy above the lowest structure with this stoichiometry**: 28.1 kJ/mol of formula units
**Calculated formation energy**: 15.5 meV/atom

Cell and atoms, written as extended XYZ:
```
4
Lattice="3.792 0.000 0.000 0.000 3.792 0.000 0.000 0.000 8.116" Properties=species:S:1:pos:R:3 pbc="T T T"
K 0.000 0.000 0.000
Al 1.896 1.896 2.692
Hg 0.000 0.000 3.562
Hg 1.896 1.896 5.769
```

---

[15]
Density functional theory data (GGA-PBE) for a relaxed structure of Sc2CrPt.

**Calculated formation energy**: -274.4 meV/atom

Cell and atoms, written as extended XYZ:
```
4
Lattice="3.560 0.000 0.000 0.000 3.560 0.000 0.000 0.000 6.057" Properties=species:S:1:pos:R:3 pbc="T T T"
Sc 0.000 0.000 0.000
Sc 1.780 1.780 2.025
Cr 0.000 0.000 3.272
Pt 1.780 1.780 4.903
```

---

[16]
Density functional theory data (GGA-PBE) for a relaxed structure of VZnTe2Ir.

**E_form (uncorrected)**: 1.0275 eV/atom

Cell and atoms, written as extended XYZ:
```
5
Lattice="5.015 0.000 0.000 0.000 5.015 0.000 0.000 0.000 4.668" Properties=species:S:1:pos:R:3 pbc="T T T"
V 0.000 0.000 0.000
Zn 0.000 0.000 2.334
Te 0.000 2.507 0.000
Te 2.507 0.000 0.000
Ir 2.507 2.507 2.334
```

---

[17]
Density functional theory data (GGA-PBE) for a relaxed structure of Sm13Tl2.

**Calculated formation energy**: -66.1 meV/atom

Cell and atoms, written as extended XYZ:
```
15
Lattice="6.904 0.000 0.000 1.096 8.647 0.000 1.760 3.432 8.215" Properties=species:S:1:pos:R:3 pbc="T T T"
Sm 0.000 0.000 0.000
Sm 2.654 6.633 6.043
Sm 1.881 2.524 1.261
Sm 3.881 10.121 4.837
Sm 4.556 8.988 7.986
Sm 3.676 4.899 3.206
Sm 4.984 3.957 6.539
Sm 4.776 8.123 1.676
Sm 6.084 7.180 5.009
Sm 5.204 3.091 0.229
Sm 5.879 1.958 3.378
Sm 7.879 9.556 6.954
Sm 7.106 5.447 2.172
Tl 1.926 8.012 3.162
Tl 7.834 4.067 5.052
```

---

[18]
Density functional theory data (GGA-PBE) for a relaxed structure of Sc2Si4Os3.

**E_form (uncorrected)**: -0.3677 eV/atom

Cell and atoms, written as extended XYZ:
```
9
Lattice="0.000 4.602 5.844 2.733 0.000 5.844 2.733 4.602 0.000" Properties=species:S:1:pos:R:3 pbc="T T T"
Sc 2.733 4.602 1.529
Sc 2.733 4.602 10.158
Si 2.733 3.010 3.940
Si 2.733 3.010 7.747
Si 2.733 6.195 3.940
Si 2.733 6.195 7.747
Os 1.366 2.301 0.000
Os 1.366 2.301 5.844
Os 2.733 4.602 5.844
```

---

[19]
Density functional theory data (GGA-PBE) for a relaxed structure of Pa2InC.

**Energy above the lowest structure with this stoichiometry**: 0.0 kJ/mol of formula units
**Calculated formation energy**: -286.9 meV/atom

Cell and atoms, written as extended XYZ:
```
4
Lattice="1.679 0.969 8.687 -1.679 0.969 8.687 0.000 -1.939 8.687" Properties=species:S:1:pos:R:3 pbc="T T T"
Pa 0.000 0.000 0.000
Pa 0.000 0.000 5.691
In 0.000 0.000 20.215
C 0.000 0.000 15.913
```

---

[20]
Density functional theory data (GGA-PBE) for a relaxed structure of Mg4ScIr.

**Calculated formation energy**: 40.1 meV/atom

Cell and atoms, written as extended XYZ:
```
6
Lattice="0.000 3.847 3.847 3.847 0.000 3.847 3.847 3.847 0.000" Properties=species:S:1:pos:R:3 pbc="T T T"
Mg 2.891 2.891 2.891
Mg 4.803 4.803 2.891
Mg 4.803 2.891 4.803
Mg 2.891 4.803 4.803
Sc 0.000 0.000 0.000
Ir 5.771 5.771 5.771
```